EuSbS2, relaxed, DFT PBE; SG = No. 166; V = 121.8 Å³/cell; formation energy without anion corrections = -0.495 eV/atom; total energy = -6.16 eV per atom
1.0
-1.4583 -3.2375 -1.9376
2.2967 -3.3013 -0.4349
-2.7473 -5.2643 6.6416
S Sb Eu
2 1 1
direct
0.8912 0.8912 0.3264
0.1088 0.1088 0.6736
0.5000 0.5000 0.5000
0.0000 0.0000 0.0000

Eu3Sb5S12, relaxed, DFT PBE; SG = No. 230; V = 2187.5 Å³/cell; formation energy without anion corrections = -0.713 eV/atom; total energy = -5.76 eV per atom
1.0
14.1641 0.0000 0.0000
-4.7214 13.3541 0.0000
-4.7214 -6.6770 11.5649
S Sb Eu
48 20 12
direct
0.8691 0.2857 0.4595
0.9096 0.8262 0.5405
0.4595 0.6738 0.0904
0.0405 0.4096 0.8262
0.5834 0.7143 0.6738
0.3262 0.5405 0.4096
0.7857 0.3262 0.9166
0.4096 0.0405 0.3262
0.3262 0.7857 0.4166
0.0904 0.9166 0.1309
0.3691 0.9595 0.7857
0.0834 0.1738 0.2143
0.6309 0.5904 0.9166
0.2143 0.5405 0.6309
0.1738 0.0904 0.9595
0.9595 0.5904 0.1738
0.7143 0.5834 0.1738
0.9166 0.8262 0.7857
0.2143 0.6738 0.0834
0.4166 0.1309 0.5904
0.8691 0.5834 0.9096
0.6738 0.4595 0.5904
0.7857 0.4595 0.3691
0.4096 0.3691 0.5834
0.6738 0.2143 0.5834
0.3691 0.4096 0.0834
0.0834 0.9096 0.3691
0.1309 0.7143 0.5405
0.9096 0.0834 0.8691
0.6309 0.0405 0.2143
0.2857 0.4166 0.8262
0.5904 0.6309 0.4166
0.7143 0.1309 0.0405
0.2857 0.8691 0.9595
0.9166 0.0904 0.6309
0.0904 0.1738 0.4595
0.4595 0.7857 0.8691
0.0405 0.6309 0.7143
0.8262 0.9166 0.2857
0.5405 0.3262 0.9096
0.5405 0.2143 0.1309
0.1309 0.4166 0.0904
0.4166 0.2857 0.3262
0.9595 0.3691 0.2857
0.1738 0.0834 0.7143
0.5834 0.8691 0.4096
0.8262 0.9096 0.0405
0.5904 0.9595 0.6738
0.3750 0.2500 0.1250
0.8750 0.6250 0.7500
0.1250 0.7500 0.3750
0.0000 0.0000 0.5000
0.6250 0.8750 0.2500
0.5000 0.5000 0.0000
0.0000 0.0000 0.0000
0.5000 0.0000 0.0000
0.8750 0.2500 0.6250
0.7500 0.6250 0.3750
0.0000 0.5000 0.0000
0.1250 0.3750 0.2500
0.6250 0.7500 0.8750
0.3750 0.1250 0.7500
0.2500 0.8750 0.1250
0.2500 0.3750 0.6250
0.5000 0.5000 0.5000
0.5000 0.0000 0.5000
0.0000 0.5000 0.5000
0.7500 0.1250 0.8750
0.7500 0.3750 0.1250
0.2500 0.1250 0.3750
0.6250 0.3750 0.7500
0.6250 0.2500 0.3750
0.2500 0.6250 0.8750
0.3750 0.6250 0.2500
0.1250 0.2500 0.8750
0.7500 0.8750 0.6250
0.1250 0.8750 0.7500
0.8750 0.1250 0.2500
0.3750 0.7500 0.6250
0.8750 0.7500 0.1250

Eu2SbS, relaxed, DFT PBE; SG = No. 166; V = 118.1 Å³/cell; formation energy without anion corrections = -1.489 eV/atom; total energy = -8.69 eV per atom
1.0
-0.3949 3.6829 -2.1089
-3.8276 1.2613 -1.3878
-2.5769 5.2379 5.3224
Eu S Sb
2 1 1
direct
0.7593 0.7593 0.7221
0.2407 0.2407 0.2779
0.5000 0.5000 0.5000
0.0000 0.0000 0.0000

EuScS2, relaxed, DFT PBE; SG = No. 166; V = 83.8 Å³/cell; formation energy without anion corrections = -1.990 eV/atom; total energy = -8.21 eV per atom
1.0
-1.8985 1.6321 2.9495
1.3982 -0.2865 3.5959
3.1835 5.9130 1.3144
S Eu Sc
2 1 1
direct
0.7407 0.7407 0.7780
0.2593 0.2593 0.2220
0.5000 0.5000 0.5000
0.0000 0.0000 0.0000

Eu2SeS, relaxed, DFT PBE; SG = No. 166; V = 107.9 Å³/cell; formation energy without anion corrections = -2.089 eV/atom; total energy = -9.13 eV per atom
1.0
7.3526 0.0003 0.0002
6.1299 4.0602 0.0002
6.1299 1.8461 3.6162
Eu S Se
2 1 1
direct
0.2466 0.2466 0.2466
0.7534 0.7534 0.7534
0.5000 0.5000 0.5000
0.0000 0.0000 0.0000

EuSeS2, relaxed, DFT PBE; SG = No. 166; V = 113.6 Å³/cell; formation energy without anion corrections = 0.019 eV/atom; total energy = -5.48 eV per atom
1.0
4.0041 0.0000 0.0000
2.0020 3.4676 0.0000
2.0020 1.1559 8.1836
S Se Eu
2 1 1
direct
0.1152 0.1152 0.6545
0.8848 0.8848 0.3455
0.5000 0.5000 0.5000
0.0000 0.0000 0.0000

Eu3Se5S12, relaxed, DFT PBE; SG = No. 230; V = 1992.2 Å³/cell; formation energy without anion corrections = -0.333 eV/atom; total energy = -5.22 eV per atom
1.0
-2.7627 2.3433 -13.2430
7.0949 -11.6933 1.1955
-11.7572 -1.0433 7.0128
S Se Eu
48 20 12
direct
0.0343 0.6255 0.7046
0.8298 0.9088 0.0343
0.9657 0.3745 0.2954
0.5343 0.2046 0.1255
0.2046 0.5343 0.6255
0.8745 0.5791 0.9088
0.9657 0.5912 0.1702
0.6702 0.4657 0.5912
0.7954 0.3298 0.9209
0.1255 0.7046 0.5343
0.9088 0.8298 0.5343
0.4657 0.6702 0.0912
0.0912 0.9209 0.1255
0.1702 0.0912 0.9657
0.5791 0.7046 0.6702
0.4088 0.3745 0.5791
0.1702 0.0791 0.7046
0.0791 0.1702 0.2046
0.5343 0.3298 0.9088
0.8298 0.9209 0.2954
0.6255 0.5912 0.9209
0.4209 0.2954 0.3298
0.6702 0.2046 0.5791
0.5791 0.8745 0.4088
0.4088 0.0343 0.3298
0.3745 0.4088 0.0791
0.7046 0.1255 0.0343
0.0791 0.9088 0.3745
0.3298 0.7954 0.4209
0.7046 0.5791 0.1702
0.6255 0.0343 0.2046
0.2954 0.4209 0.8298
0.2046 0.6702 0.0791
0.5912 0.6255 0.4209
0.1255 0.4209 0.0912
0.9209 0.0912 0.6255
0.9088 0.0791 0.8745
0.9209 0.8298 0.7954
0.4657 0.7954 0.8745
0.0912 0.1702 0.4657
0.3745 0.9657 0.7954
0.4209 0.1255 0.5912
0.5912 0.9657 0.6702
0.2954 0.8745 0.9657
0.8745 0.2954 0.4657
0.7954 0.4657 0.3745
0.3298 0.5343 0.4088
0.0343 0.4088 0.8298
0.6250 0.7500 0.8750
0.1250 0.3750 0.2500
0.2500 0.8750 0.1250
0.2500 0.3750 0.6250
0.7500 0.6250 0.3750
0.5000 0.5000 0.5000
0.8750 0.6250 0.7500
0.0000 0.0000 0.5000
0.0000 0.5000 0.0000
0.6250 0.8750 0.2500
0.3750 0.1250 0.7500
0.8750 0.2500 0.6250
0.1250 0.7500 0.3750
0.5000 0.0000 0.5000
0.3750 0.2500 0.1250
0.5000 0.5000 0.0000
0.7500 0.1250 0.8750
0.0000 0.5000 0.5000
0.5000 0.0000 0.0000
0.0000 0.0000 0.0000
0.1250 0.8750 0.7500
0.6250 0.3750 0.7500
0.8750 0.1250 0.2500
0.7500 0.8750 0.6250
0.2500 0.1250 0.3750
0.7500 0.3750 0.1250
0.2500 0.6250 0.8750
0.1250 0.2500 0.8750
0.8750 0.7500 0.1250
0.3750 0.6250 0.2500
0.6250 0.2500 0.3750
0.3750 0.7500 0.6250

Eu2SiS4, relaxed, DFT PBE; SG = No. 11; V = 334.7 Å³/cell; formation energy without anion corrections = -1.529 eV/atom; ΔE to the lowest computed polymorph = 0 kJ/mol of formula units; total energy = -7.60 eV per atom
1.0
6.5768 0.0000 0.0171
0.0000 6.6086 0.0000
-2.5120 0.0000 7.6949
Eu S Si
4 8 2
direct
0.7323 0.7500 0.9323
0.2677 0.2500 0.0677
0.2193 0.2500 0.5511
0.7807 0.7500 0.4489
0.0100 0.9997 0.2406
0.4190 0.7500 0.1307
0.5810 0.2500 0.8693
0.0100 0.5003 0.2406
0.9900 0.4997 0.7594
0.9900 0.0003 0.7594
0.6040 0.2500 0.4297
0.3960 0.7500 0.5703
0.7739 0.2500 0.6998
0.2261 0.7500 0.3002

Eu2SiS4, relaxed, DFT PBE; SG = No. 11; V = 365.0 Å³/cell; formation energy without anion corrections = -1.280 eV/atom; ΔE to the lowest computed polymorph = 168 kJ/mol of formula units; total energy = -7.35 eV per atom
1.0
4.8285 0.0000 0.0000
0.0000 7.3997 0.1244
0.0000 1.6457 10.2440
S Si Eu
8 2 4
direct
0.2500 0.2822 0.8272
0.9988 0.2581 0.4956
0.7500 0.8121 0.8182
0.4988 0.7419 0.5044
0.0012 0.7419 0.5044
0.7500 0.7178 0.1728
0.5012 0.2581 0.4956
0.2500 0.1879 0.1818
0.2500 0.0731 0.0032
0.7500 0.9269 0.9968
0.7500 0.4486 0.6947
0.2500 0.9626 0.6795
0.2500 0.5514 0.3053
0.7500 0.0374 0.3205

Sm3Eu3S8, relaxed, DFT PBE; SG = No. 5; V = 315.2 Å³/cell; formation energy without anion corrections = -2.062 eV/atom; ΔE to the lowest computed polymorph = 0 kJ/mol of formula units; total energy = -7.63 eV per atom
1.0
7.4165 -0.0133 0.0046
-2.4533 6.9990 -0.0046
-2.4740 -3.4982 6.0753
Eu S Sm
3 8 3
direct
0.2481 0.1249 0.3755
0.7494 0.8726 0.6245
0.1264 0.6264 0.5000
0.3542 0.7463 0.2412
0.5051 0.1131 0.7588
0.6430 0.3895 0.3911
0.5034 0.6044 0.7577
0.9984 0.2519 0.6089
0.8467 0.7457 0.2423
0.1510 0.8977 0.8986
0.9991 0.2524 0.1014
0.6263 0.9998 0.1241
0.3731 0.3731 0.0000
0.8757 0.5022 0.8759

Sm3Eu3S8, relaxed, DFT PBE; SG = No. 5; V = 365.3 Å³/cell; formation energy without anion corrections = -1.961 eV/atom; ΔE to the lowest computed polymorph = 137 kJ/mol of formula units; total energy = -7.53 eV per atom
1.0
7.2628 -0.3773 1.4407
2.0339 6.9823 1.4407
5.9546 4.2306 8.9426
S Sm Eu
8 3 3
direct
0.4931 0.2012 0.2486
0.3659 0.8968 0.7018
0.7988 0.5069 0.7514
0.0450 0.2234 0.1970
0.6376 0.6582 0.2662
0.1032 0.6341 0.2982
0.3418 0.3624 0.7338
0.7766 0.9550 0.8030
0.4016 0.5984 0.0000
0.1769 0.3286 0.5814
0.6714 0.8231 0.4186
0.7521 0.2479 0.5000
0.9689 0.5327 0.9172
0.4673 0.0311 0.0828

SmEuS, relaxed, DFT PBE; SG = No. 156; V = 90.7 Å³/cell; formation energy without anion corrections = -1.244 eV/atom; total energy = -7.62 eV per atom
1.0
-3.4116 1.8256 0.7406
0.0816 -3.1263 -2.3958
-1.0337 -4.0742 5.2812
Eu Sm S
1 1 1
direct
0.3333 0.6667 0.5892
0.0000 0.0000 0.0826
0.6667 0.3333 0.3282

- Look up the V of the seventh one.
  1992.2 Å³/cell

- Look up the V of the seventh one.
  1992.2 Å³/cell